An optimized crystal structure of PuTlNiF6, computed with PBE+U.

SG: P-31c, No. 163
V in Å³ per cell: 345.5
Final energy in eV/atom: -6.075

a b c (Å): 5.9149 5.9149 11.4018
angles (deg): 90.00 90.00 120.00
Closest atoms and distances in Å follow each position.
Positions (direct):
F 0.3924 0.3605 0.8487  1 Ni 2.05
F 0.6395 0.0319 0.8487  1 Ni 2.05
F 0.6076 0.6395 0.1513  1 Ni 2.05
F 0.3605 0.3924 0.3487  1 Ni 2.05
F 0.3924 0.0319 0.6513  1 Ni 2.05
F 0.0319 0.6395 0.3487  1 Ni 2.05
F 0.9681 0.3605 0.6513  1 Ni 2.05
F 0.6395 0.6076 0.6513  1 Ni 2.05
F 0.6076 0.9681 0.3487  1 Ni 2.05
F 0.9681 0.6076 0.8487  1 Ni 2.05
F 0.3605 0.9681 0.1513  1 Ni 2.05
F 0.0319 0.3924 0.1513  1 Ni 2.05
Pu 0.3333 0.6667 0.7500  6 F 2.30
Pu 0.6667 0.3333 0.2500  6 F 2.30
Tl 0.0000 0.0000 0.0000  6 F 2.82
Tl 0.0000 0.0000 0.5000  6 F 2.82
Ni 0.6667 0.3333 0.7500  6 F 2.05
Ni 0.3333 0.6667 0.2500  6 F 2.05